(1)
NbTl3Pd2Se6: relaxed, PBE.

Unit cell a=6.759 b=6.759 c=7.783 alpha=98.23 beta=98.23 gamma=120.12
Positions (direct):
Nb 0.000 0.000 0.000
Tl 0.164 0.836 0.500
Tl 0.500 0.500 0.500
Tl 0.836 0.164 0.500
Pd 0.334 0.666 0.000
Pd 0.666 0.334 0.000
Se 0.060 0.394 0.185
Se 0.271 0.271 0.816
Se 0.394 0.060 0.185
Se 0.606 0.940 0.815
Se 0.729 0.729 0.184
Se 0.940 0.606 0.815

Results
Volume in Å³ per cell: 295
Magnetization in μB per formula unit: 0.49
Energy relative to the elements, uncorrected in meV/atom: -358
VASP energy in eV per atom: -4.397

(2)
AsPPb: relaxed, PBE.

Unit cell a=6.633 b=6.633 c=6.633 alpha=135.95 beta=119.95 gamma=77.41
Positions (direct):
As 0.026 0.250 0.276
As 0.474 0.750 0.224
P 0.122 0.872 0.250
P 0.378 0.628 0.750
Pb 0.250 0.151 0.901
Pb 0.750 0.349 0.599

Results
Volume in Å³ per cell: 171
Magnetization in μB per formula unit: 0.00
Distance to the lowest polymorph of the same formula in meV/atom: 0
VASP energy in eV per atom: -4.514

(3)
MgAlBr2: relaxed, PBE.

Unit cell a=3.684 b=3.684 c=9.327 alpha=90.00 beta=90.00 gamma=90.00
Positions (direct):
Mg 0.000 0.000 0.000
Al 0.500 0.500 0.494
Br 0.000 0.000 0.738
Br 0.500 0.500 0.099

Results
Volume in Å³ per cell: 127
Magnetization in μB per formula unit: 0.00
Distance to the lowest polymorph of the same formula in meV/atom: 267
Energy relative to the elements, uncorrected in meV/atom: -371
VASP energy in eV per atom: -2.541

(4)
HfCoC: relaxed, PBE.

Unit cell a=6.734 b=6.734 c=6.734 alpha=33.52 beta=33.52 gamma=33.52
Positions (direct):
Hf 0.106 0.106 0.106
Hf 0.894 0.894 0.894
Co 0.319 0.319 0.319
Co 0.681 0.681 0.681
C 0.221 0.221 0.221
C 0.779 0.779 0.779

Results
Volume in Å³ per cell: 83
Magnetization in μB per formula unit: 1.26
VASP energy in eV per atom: -8.990

(5)
CoPRuS2: relaxed, PBE.

Unit cell a=4.348 b=4.348 c=4.181 alpha=90.00 beta=90.00 gamma=90.00
Positions (direct):
Co 0.000 0.000 0.000
P 0.000 0.000 0.500
Ru 0.500 0.500 0.500
S 0.000 0.500 0.000
S 0.500 0.000 0.000

Results
Volume in Å³ per cell: 79
Magnetization in μB per formula unit: 0.00
Distance to the lowest polymorph of the same formula in meV/atom: 0
Energy relative to the elements, uncorrected in meV/atom: 793
VASP energy in eV per atom: -5.217

(6)
LiAsPbSe2: relaxed, PBE.

Unit cell a=5.593 b=5.593 c=5.417 alpha=90.00 beta=90.00 gamma=90.00
Positions (direct):
Li 0.000 0.000 0.000
As 0.500 0.500 0.000
Pb 0.500 0.500 0.500
Se 0.000 0.500 0.500
Se 0.500 0.000 0.500

Results
Volume in Å³ per cell: 169
Magnetization in μB per formula unit: 1.37
Distance to the lowest polymorph of the same formula in meV/atom: 311
Energy relative to the elements, uncorrected in meV/atom: 377
VASP energy in eV per atom: -3.071

(7)
MgAu5: relaxed, PBE.

Unit cell a=2.961 b=2.961 c=12.283 alpha=90.00 beta=90.00 gamma=90.00
Positions (direct):
Mg 0.000 0.000 0.000
Au 0.000 0.000 0.331
Au 0.000 0.000 0.669
Au 0.500 0.500 0.156
Au 0.500 0.500 0.500
Au 0.500 0.500 0.844

Results
Volume in Å³ per cell: 108
Magnetization in μB per formula unit: 0.00
VASP energy in eV per atom: -3.195

(8)
Y2TlSe: relaxed, PBE.

Unit cell a=5.262 b=5.262 c=5.262 alpha=60.00 beta=60.00 gamma=60.00
Positions (direct):
Y 0.250 0.250 0.250
Y 0.750 0.750 0.750
Tl 0.000 0.000 0.000
Se 0.500 0.500 0.500

Results
Volume in Å³ per cell: 103
Magnetization in μB per formula unit: 0.00
Distance to the lowest polymorph of the same formula in meV/atom: 396
Energy relative to the elements, uncorrected in meV/atom: -680
VASP energy in eV per atom: -5.375